Record 1
A geometry-optimized Sr2Cd2Cu structure. Source: Alexandria via LeMat-Bulk, functional GGA-PBE.

abc: 4.3815 6.3734 11.5735
angles: 91.66 100.91 110.03
Last column: nearest neighbours and their distance in Å.
Element x y z (fractional)
Sr (0.9296, 0.7391, 0.1210)  2 Cu 3.31, 6 Cd 3.36-3.65
Sr (0.3460, 0.3555, 0.3372)  3 Cu 3.30-3.53, 7 Cd 3.45-3.61
Sr (0.0704, 0.2609, 0.8790)  2 Cu 3.31, 6 Cd 3.36-3.65
Sr (0.6540, 0.6445, 0.6628)  3 Cu 3.30-3.53, 7 Cd 3.45-3.61
Cd (0.3617, 0.8371, 0.8847)  1 Cu 2.82, 1 Cd 3.10
Cd (0.8726, 0.1897, 0.5562)  3 Cu 2.74-2.91
Cd (0.6383, 0.1629, 0.1153)  1 Cu 2.82, 1 Cd 3.10
Cd (0.1274, 0.8103, 0.4438)  3 Cu 2.74-2.91
Cu (0.3692, 0.0589, 0.6777)  4 Cd 2.74-2.91
Cu (0.6308, 0.9411, 0.3223)  4 Cd 2.74-2.91

Properties
space group	No. 2
E_form	-0.23	eV/atom
M_tot	0.00	μB/f.u.
ΔE to the lowest computed polymorph	0	meV/atom
crystal system	triclinic
Fermi-level density of states	6.83	states/eV/cell

=====

Record 2
A geometry-optimized SrCdCu5 structure. Source: Alexandria via LeMat-Bulk, functional GGA-PBE.

abc: 5.1793 8.5016 10.6989
angles: 90.00 90.00 90.00
Last column: nearest neighbours and their distance in Å.
Element x y z (fractional)
Sr (0.2500, 0.2409, 0.9367)  14 Cu 3.02-3.38, 1 Cd 3.33
Sr (0.7500, 0.2591, 0.4367)  14 Cu 3.02-3.38, 1 Cd 3.33
Sr (0.2500, 0.7409, 0.5633)  14 Cu 3.02-3.38, 1 Cd 3.33
Sr (0.7500, 0.7591, 0.0633)  14 Cu 3.02-3.38, 1 Cd 3.33
Cd (0.2500, 0.8593, 0.8656)  10 Cu 2.78-3.07
Cd (0.7500, 0.6407, 0.3656)  10 Cu 2.78-3.07
Cd (0.2500, 0.3593, 0.6344)  10 Cu 2.78-3.07
Cd (0.7500, 0.1407, 0.1344)  10 Cu 2.78-3.07
Cu (0.2500, 0.5816, 0.0160)  5 Cu 2.51-2.58
Cu (0.7500, 0.9184, 0.5160)  5 Cu 2.51-2.58
Cu (0.2500, 0.0816, 0.4840)  5 Cu 2.51-2.58
Cu (0.7500, 0.4184, 0.9840)  5 Cu 2.51-2.58
Cu (0.7500, 0.3144, 0.7578)  7 Cu 2.53-2.61
Cu (0.2500, 0.1856, 0.2578)  7 Cu 2.53-2.61
Cu (0.7500, 0.8144, 0.7422)  7 Cu 2.53-2.61
Cu (0.2500, 0.6856, 0.2422)  7 Cu 2.53-2.61
Cu (0.2500, 0.9484, 0.1156)  4 Cu 2.50-2.61, 1 Cd 2.78
Cu (0.7500, 0.5516, 0.6156)  4 Cu 2.50-2.61, 1 Cd 2.78
Cu (0.2500, 0.4484, 0.3844)  4 Cu 2.50-2.61, 1 Cd 2.78
Cu (0.7500, 0.0516, 0.8844)  4 Cu 2.50-2.61, 1 Cd 2.78
Cu (0.0003, 0.4343, 0.1847)  7 Cu 2.50-2.60
Cu (0.9997, 0.0657, 0.6847)  7 Cu 2.50-2.60
Cu (0.4997, 0.9343, 0.3153)  7 Cu 2.50-2.60
Cu (0.5003, 0.5657, 0.8153)  7 Cu 2.50-2.60
Cu (0.9997, 0.5657, 0.8153)  7 Cu 2.50-2.60
Cu (0.0003, 0.9343, 0.3153)  7 Cu 2.50-2.60
Cu (0.5003, 0.0657, 0.6847)  7 Cu 2.50-2.60
Cu (0.4997, 0.4343, 0.1847)  7 Cu 2.50-2.60

Properties
space group	No. 62
E_form	-0.08	eV/atom
M_tot	0.00	μB/f.u.
crystal system	orthorhombic
Fermi-level density of states	10.99	states/eV/cell

=====

Record 3
A geometry-optimized Sr4CdCu structure. Source: Alexandria via LeMat-Bulk, functional GGA-PBE.

abc: 3.9870 3.9870 14.2162
angles: 90.00 90.00 90.00
Last column: nearest neighbours and their distance in Å.
Element x y z (fractional)
Sr (0.5000, 0.5000, 0.8568)  4 Cd 3.48
Sr (0.5000, 0.5000, 0.1432)  4 Cd 3.48
Sr (0.9999, 0.9999, 0.6268)  4 Cu 3.35, 1 Sr 3.61
Sr (0.0001, 0.0001, 0.3732)  4 Cu 3.35, 1 Sr 3.61
Cd (0.0000, 0.0000, 0.0000)  8 Sr 3.48
Cu (0.5000, 0.5000, 0.5000)  8 Sr 3.35

Properties
space group	No. 123
E_form	-0.10	eV/atom
M_tot	0.00	μB/f.u.
ΔE to the lowest computed polymorph	0	meV/atom
crystal system	tetragonal
Fermi-level density of states	4.77	states/eV/cell